Compound: ZnTe2S
Source: Alexandria
Functional: PBE
Structure: relaxed

As for the uncorrected formation energy: 16 kJ/mol of atoms. As for the energy above the most stable polymorph in this dataset: 0.00 eV/f.u.

abc: 4.2099 4.2099 23.6285
angles: 90.00 90.00 120.00
Space group R-3m (No. 166, hexagonal axes)
Asymmetric unit:
Zn  0.0000  0.0000  0.0000 (multiplicity 3)
Te  0.0000  0.0000  0.3943 (multiplicity 6)
S  0.0000  0.0000  0.5000 (multiplicity 3)